[1]
{"formula": "CaP", "functional": "PBE-GGA", "state": "relaxed", "cell": [[4.9071, 0.0000, 0.0000], [-2.4536, 4.2497, 0.0000], [0.0000, 0.0000, 16.1022]], "species": ["Ca", "Ca", "Ca", "Ca", "Ca", "Ca", "P", "P", "P", "P", "P", "P"], "frac_coords": [[0.0000, 0.0000, 0.2426], [0.0000, 0.0000, 0.7574], [0.3333, 0.6667, 0.4240], [0.3333, 0.6667, 0.9093], [0.6667, 0.3333, 0.0907], [0.6667, 0.3333, 0.5760], [0.0000, 0.0000, 0.0696], [0.0000, 0.0000, 0.9304], [0.3333, 0.6667, 0.5971], [0.3333, 0.6667, 0.7363], [0.6667, 0.3333, 0.2637], [0.6667, 0.3333, 0.4029]], "ef_kj_per_mol_fu": -158.9}

[2]
{"formula": "Sr2LiMg12Cu3", "functional": "PBE-GGA", "state": "relaxed", "cell": [[4.7455, 2.7398, 6.5316], [-4.7455, 2.7398, 6.5316], [0.0000, -5.4797, 6.5316]], "species": ["Sr", "Sr", "Li", "Mg", "Mg", "Mg", "Mg", "Mg", "Mg", "Mg", "Mg", "Mg", "Mg", "Mg", "Mg", "Cu", "Cu", "Cu"], "frac_coords": [[0.0930, 0.0930, 0.0930], [0.9070, 0.9070, 0.9070], [0.5000, 0.5000, 0.5000], [0.1146, 0.6340, 0.6340], [0.2188, 0.2188, 0.6159], [0.2188, 0.6159, 0.2188], [0.3660, 0.3660, 0.8854], [0.3660, 0.8854, 0.3660], [0.3841, 0.7812, 0.7812], [0.6159, 0.2188, 0.2188], [0.6340, 0.1146, 0.6340], [0.6340, 0.6340, 0.1146], [0.7812, 0.3841, 0.7812], [0.7812, 0.7812, 0.3841], [0.8854, 0.3660, 0.3660], [0.0000, 0.5000, 0.5000], [0.5000, 0.0000, 0.5000], [0.5000, 0.5000, 0.0000]], "ef_kj_per_mol_fu": 362.1, "dos_at_fermi_per_ev_fu": 9.4}

[3]
{"formula": "AgHPt3", "functional": "PBE-GGA", "state": "relaxed", "cell": [[-2.8541, 2.9935, 4.0097], [2.8541, -2.9935, 4.0097], [2.8541, 2.9935, -4.0097]], "species": ["Ag", "Ag", "H", "H", "Pt", "Pt", "Pt", "Pt", "Pt", "Pt"], "frac_coords": [[0.0000, 0.0000, 0.0000], [0.4847, 0.4847, 0.0000], [0.3211, 0.0168, 0.6957], [0.3211, 0.6254, 0.3043], [0.5003, 0.0003, 0.5000], [0.5074, 0.4894, 0.5195], [0.5074, 0.9880, 0.0181], [0.9699, 0.4894, 0.9819], [0.9699, 0.9880, 0.4805], [0.9952, 0.4952, 0.5000]], "relative_energy_ev_per_atom": 0.000, "dos_at_fermi_per_ev_fu": 5.0}

[4]
{"formula": "AuSI2O", "functional": "PBE-GGA", "state": "relaxed", "cell": [[5.7033, 0.0000, 0.0000], [0.0000, 5.7033, 0.0000], [0.0000, 0.0000, 3.9429]], "species": ["Au", "S", "I", "I", "O"], "frac_coords": [[0.0000, 0.0000, 0.0000], [0.5000, 0.5000, 0.5000], [0.0000, 0.5000, 0.0000], [0.5000, 0.0000, 0.0000], [0.0000, 0.0000, 0.5000]], "relative_energy_ev_per_atom": 0.331, "e_form_raw_ev_per_atom": 0.6999, "dos_at_fermi_per_ev_fu": 8.0}

[5]
{"formula": "TcAs3S", "functional": "PBE-GGA", "state": "relaxed", "cell": [[4.7667, 0.0000, 0.0000], [0.0000, 4.7667, 0.0000], [0.0000, 0.0000, 4.7667]], "species": ["Tc", "As", "As", "As", "S"], "frac_coords": [[0.0000, 0.0000, 0.0000], [0.0000, 0.0000, 0.5000], [0.0000, 0.5000, 0.0000], [0.5000, 0.0000, 0.0000], [0.5000, 0.5000, 0.5000]], "relative_energy_ev_per_atom": 0.000, "e_form_raw_ev_per_atom": 0.5196, "dos_at_fermi_per_ev_fu": 3.2}